Run w
Compound: ScNiRhAu
Source: Alexandria via LeMat-Bulk
Functional: PBE-GGA
Structure: relaxed

Output
SG: No. 47
DOS(E_F): 1.231 states/eV per atom

Cell: 3.8105 3.9011 4.1379 Å, 90.00 90.00 90.00°
Sites, in units of the cell vectors:
Sc: 0.0000 0.0000 0.0000
Ni: 0.5000 0.0000 0.5000
Rh: 0.5000 0.5000 0.0000
Au: 0.0000 0.5000 0.5000

Run x
Compound: ScNiRhAu
Source: Alexandria via LeMat-Bulk
Functional: PBE-GGA
Structure: relaxed

Output
SG: No. 216
DOS(E_F): 1.131 states/eV per atom

Cell: 4.4682 4.4682 4.4682 Å, 60.00 60.00 60.00°
Sites, in units of the cell vectors:
Sc: 0.0000 0.0000 0.0000
Ni: 0.2500 0.2500 0.2500
Rh: 0.7500 0.7500 0.7500
Au: 0.5000 0.5000 0.5000

Stability verdict: run w, ahead by 152 meV per atom

Run w
Compound: NiRu2Au
Source: Alexandria via LeMat-Bulk
Functional: PBE-GGA
Structure: relaxed

Output
SG: No. 225
DOS(E_F): 1.106 states/eV per atom

Cell: 4.3365 4.3365 4.3365 Å, 60.00 60.00 60.00°
Sites, in units of the cell vectors:
Ni: 0.0000 0.0000 0.0000
Ru: 0.2500 0.2500 0.2500
Ru: 0.7500 0.7500 0.7500
Au: 0.5000 0.5000 0.5000

Run x
Compound: NiRu2Au
Source: Alexandria via LeMat-Bulk
Functional: PBE-GGA
Structure: relaxed

Output
SG: No. 47
DOS(E_F): 1.420 states/eV per atom

Cell: 2.7056 3.8465 5.5215 Å, 90.00 90.00 90.00°
Sites, in units of the cell vectors:
Ni: 0.0000 0.0000 0.0000
Ru: 0.5000 0.5000 0.2193
Ru: 0.5000 0.5000 0.7807
Au: 0.0000 0.0000 0.5000

Stability verdict: run x, ahead by 182 meV per atom

Run w
Compound: NiRu2Au
Source: Alexandria via LeMat-Bulk
Functional: PBE-GGA
Structure: relaxed

Output
SG: No. 122
DOS(E_F): 1.165 states/eV per atom

Cell: 5.5915 5.5915 5.5915 Å, 101.34 101.34 127.35°
Sites, in units of the cell vectors:
Ni: 0.0000 0.0000 0.0000
Ni: 0.7500 0.2500 0.5000
Ru: 0.0757 0.1250 0.4507
Ru: 0.3750 0.9243 0.0493
Ru: 0.6743 0.6250 0.5493
Ru: 0.8750 0.3257 0.9507
Au: 0.2500 0.7500 0.5000
Au: 0.5000 0.5000 0.0000

Run x
Compound: NiRu2Au
Source: Alexandria via LeMat-Bulk
Functional: PBE-GGA
Structure: relaxed

Output
SG: No. 10
DOS(E_F): 1.489 states/eV per atom

Cell: 2.7042 4.2262 5.1738 Å, 90.00 102.07 90.00°
Sites, in units of the cell vectors:
Ni: 0.0000 0.0000 0.0000
Ru: 0.3716 0.5000 0.2237
Ru: 0.6284 0.5000 0.7763
Au: 0.0000 0.0000 0.5000

Run y
Compound: NiRu2Au
Source: Alexandria via LeMat-Bulk
Functional: PBE-GGA
Structure: relaxed

Output
SG: No. 8
DOS(E_F): 1.088 states/eV per atom

Cell: 4.6562 4.6562 4.7664 Å, 99.53 99.53 34.22°
Sites, in units of the cell vectors:
Ni: 0.0000 0.0000 0.0000
Ru: 0.2542 0.2542 0.7415
Ru: 0.5092 0.5092 0.5444
Au: 0.7517 0.7517 0.2392

Stability verdict: run y, ahead by 150 meV per atom

Run w
Compound: NiRu3Au
Source: Alexandria via LeMat-Bulk
Functional: PBE-GGA
Structure: relaxed

Output
SG: No. 221
DOS(E_F): 2.225 states/eV per atom

Cell: 4.8485 4.8485 4.8485 Å, 90.00 90.00 90.00°
Sites, in units of the cell vectors:
Ni: 0.0000 0.0000 0.0000
Ru: 0.0000 0.5000 0.5000
Ru: 0.5000 0.0000 0.5000
Ru: 0.5000 0.5000 0.0000
Au: 0.5000 0.5000 0.5000

Run x
Compound: NiRu3Au
Source: Alexandria via LeMat-Bulk
Functional: PBE-GGA
Structure: relaxed

Output
SG: No. 221
DOS(E_F): 1.031 states/eV per atom

Cell: 4.4572 4.4572 4.4572 Å, 90.00 90.00 90.00°
Sites, in units of the cell vectors:
Ni: 0.0000 0.0000 0.0000
Ru: 0.0000 0.0000 0.5000
Ru: 0.0000 0.5000 0.0000
Ru: 0.5000 0.0000 0.0000
Au: 0.5000 0.5000 0.5000

Stability verdict: run x, ahead by 1049 meV per atom

Run w
Compound: NiRuAu
Source: Alexandria via LeMat-Bulk
Functional: PBE-GGA
Structure: relaxed

Output
SG: No. 107
DOS(E_F): 1.337 states/eV per atom

Cell: 6.0885 6.0885 6.0885 Å, 154.09 154.09 36.97°
Sites, in units of the cell vectors:
Ni: 0.0000 0.0000 0.0000
Ru: 0.3584 0.3584 0.0000
Au: 0.6714 0.6714 0.0000

Run x
Compound: NiRuAu
Source: Alexandria via LeMat-Bulk
Functional: PBE-GGA
Structure: relaxed

Output
SG: No. 156
DOS(E_F): 1.237 states/eV per atom

Cell: 2.7506 2.7506 6.6308 Å, 90.00 90.00 120.00°
Sites, in units of the cell vectors:
Ni: 0.0000 0.0000 0.0000
Ru: 0.6667 0.3333 0.2928
Au: 0.3333 0.6667 0.6614

Run y
Compound: NiRuAu
Source: Alexandria via LeMat-Bulk
Functional: PBE-GGA
Structure: relaxed

Output
SG: No. 216
DOS(E_F): 1.881 states/eV per atom

Cell: 4.0982 4.0982 4.0982 Å, 60.00 60.00 60.00°
Sites, in units of the cell vectors:
Ni: 0.0000 0.0000 0.0000
Ru: 0.7500 0.7500 0.7500
Au: 0.2500 0.2500 0.2500

Stability verdict: run w, ahead by 30 meV per atom

Run w
Compound: Ni3AuS
Source: Alexandria via LeMat-Bulk
Functional: PBE-GGA
Structure: relaxed

Output
SG: No. 221
DOS(E_F): 2.560 states/eV per atom

Cell: 4.6838 4.6838 4.6838 Å, 90.00 90.00 90.00°
Sites, in units of the cell vectors:
Ni: 0.0000 0.0000 0.5000
Ni: 0.0000 0.5000 0.0000
Ni: 0.5000 0.0000 0.0000
Au: 0.0000 0.0000 0.0000
S: 0.5000 0.5000 0.5000

Run x
Compound: Ni3AuS
Source: Alexandria via LeMat-Bulk
Functional: PBE-GGA
Structure: relaxed

Output
SG: No. 221
DOS(E_F): 0.529 states/eV per atom

Cell: 4.1363 4.1363 4.1363 Å, 90.00 90.00 90.00°
Sites, in units of the cell vectors:
Ni: 0.0000 0.0000 0.5000
Ni: 0.0000 0.5000 0.0000
Ni: 0.5000 0.0000 0.0000
Au: 0.5000 0.5000 0.5000
S: 0.0000 0.0000 0.0000

Stability verdict: run x, ahead by 1375 meV per atom

Run w
Compound: NiSb4Au
Source: Alexandria via LeMat-Bulk
Functional: PBE-GGA
Structure: relaxed

Output
SG: No. 216
DOS(E_F): 1.319 states/eV per atom

Cell: 6.0827 6.0827 6.0827 Å, 60.00 60.00 60.00°
Sites, in units of the cell vectors:
Ni: 0.0000 0.0000 0.0000
Sb: 0.1270 0.6243 0.6243
Sb: 0.6243 0.1270 0.6243
Sb: 0.6243 0.6243 0.1270
Sb: 0.6243 0.6243 0.6243
Au: 0.2500 0.2500 0.2500

Run x
Compound: NiSb4Au
Source: Alexandria via LeMat-Bulk
Functional: PBE-GGA
Structure: relaxed

Output
SG: No. 14
DOS(E_F): 0.527 states/eV per atom

Cell: 6.5556 6.5245 6.5349 Å, 90.00 90.39 90.00°
Sites, in units of the cell vectors:
Ni: 0.0000 0.0000 0.0000
Ni: 0.0000 0.5000 0.5000
Sb: 0.1105 0.1378 0.6388
Sb: 0.1105 0.3622 0.1388
Sb: 0.3550 0.6172 0.6167
Sb: 0.3550 0.8828 0.1167
Sb: 0.6450 0.1172 0.8833
Sb: 0.6450 0.3828 0.3833
Sb: 0.8895 0.6378 0.8612
Sb: 0.8895 0.8622 0.3612
Au: 0.5000 0.0000 0.5000
Au: 0.5000 0.5000 0.0000

Stability verdict: run x, ahead by 917 meV per atom

Run w
Compound: NiSb2TeAu
Source: Alexandria via LeMat-Bulk
Functional: PBE-GGA
Structure: relaxed

Output
SG: No. 123
DOS(E_F): 0.501 states/eV per atom

Cell: 4.9436 4.9436 5.1212 Å, 90.00 90.00 90.00°
Sites, in units of the cell vectors:
Ni: 0.0000 0.0000 0.0000
Sb: 0.0000 0.5000 0.0000
Sb: 0.5000 0.0000 0.0000
Te: 0.0000 0.0000 0.5000
Au: 0.5000 0.5000 0.5000

Run x
Compound: NiSb2TeAu
Source: Alexandria via LeMat-Bulk
Functional: PBE-GGA
Structure: relaxed

Output
SG: No. 123
DOS(E_F): 1.496 states/eV per atom

Cell: 5.3379 5.3379 5.4643 Å, 90.00 90.00 90.00°
Sites, in units of the cell vectors:
Ni: 0.0000 0.0000 0.0000
Sb: 0.0000 0.5000 0.5000
Sb: 0.5000 0.0000 0.5000
Te: 0.5000 0.5000 0.0000
Au: 0.5000 0.5000 0.5000

Stability verdict: run w, ahead by 664 meV per atom

Run w
Compound: NiSbTe2Au
Source: Alexandria via LeMat-Bulk
Functional: PBE-GGA
Structure: relaxed

Output
SG: No. 123
DOS(E_F): 0.920 states/eV per atom

Cell: 5.1080 5.1080 4.8726 Å, 90.00 90.00 90.00°
Sites, in units of the cell vectors:
Ni: 0.0000 0.0000 0.0000
Sb: 0.0000 0.0000 0.5000
Te: 0.0000 0.5000 0.0000
Te: 0.5000 0.0000 0.0000
Au: 0.5000 0.5000 0.5000

Run x
Compound: NiSbTe2Au
Source: Alexandria via LeMat-Bulk
Functional: PBE-GGA
Structure: relaxed

Output
SG: No. 123
DOS(E_F): 1.658 states/eV per atom

Cell: 5.4266 5.4266 4.7387 Å, 90.00 90.00 90.00°
Sites, in units of the cell vectors:
Ni: 0.0000 0.0000 0.0000
Sb: 0.5000 0.5000 0.0000
Te: 0.0000 0.5000 0.5000
Te: 0.5000 0.0000 0.5000
Au: 0.0000 0.0000 0.5000

Stability verdict: run w, ahead by 249 meV per atom

Run w
Compound: Sc4NiAu
Source: Alexandria via LeMat-Bulk
Functional: PBE-GGA
Structure: relaxed

Output
SG: No. 123
DOS(E_F): 1.199 states/eV per atom

Cell: 4.5326 4.5326 6.5225 Å, 90.00 90.00 90.00°
Sites, in units of the cell vectors:
Sc: 0.0000 0.5000 0.2334
Sc: 0.0000 0.5000 0.7666
Sc: 0.5000 0.0000 0.2334
Sc: 0.5000 0.0000 0.7666
Ni: 0.0000 0.0000 0.0000
Au: 0.5000 0.5000 0.5000

Run x
Compound: Sc4NiAu
Source: Alexandria via LeMat-Bulk
Functional: PBE-GGA
Structure: relaxed

Output
SG: No. 216
DOS(E_F): 1.339 states/eV per atom

Cell: 5.5414 5.5414 5.5414 Å, 60.00 60.00 60.00°
Sites, in units of the cell vectors:
Sc: 0.1253 0.1253 0.1253
Sc: 0.1253 0.1253 0.6241
Sc: 0.1253 0.6241 0.1253
Sc: 0.6241 0.1253 0.1253
Ni: 0.5000 0.5000 0.5000
Au: 0.7500 0.7500 0.7500

Stability verdict: run w, ahead by 625 meV per atom

Run w
Compound: NiAuSe3
Source: Alexandria via LeMat-Bulk
Functional: PBE-GGA
Structure: relaxed

Output
SG: No. 221
DOS(E_F): 1.365 states/eV per atom

Cell: 4.7090 4.7090 4.7090 Å, 90.00 90.00 90.00°
Sites, in units of the cell vectors:
Ni: 0.0000 0.0000 0.0000
Au: 0.5000 0.5000 0.5000
Se: 0.0000 0.0000 0.5000
Se: 0.0000 0.5000 0.0000
Se: 0.5000 0.0000 0.0000

Run x
Compound: NiAuSe3
Source: Alexandria via LeMat-Bulk
Functional: PBE-GGA
Structure: relaxed

Output
SG: No. 221
DOS(E_F): 1.447 states/eV per atom

Cell: 5.0818 5.0818 5.0818 Å, 90.00 90.00 90.00°
Sites, in units of the cell vectors:
Ni: 0.0000 0.0000 0.0000
Au: 0.5000 0.5000 0.5000
Se: 0.0000 0.5000 0.5000
Se: 0.5000 0.0000 0.5000
Se: 0.5000 0.5000 0.0000

Stability verdict: run w, ahead by 538 meV per atom

Run w
Compound: NiAuSe
Source: Alexandria via LeMat-Bulk
Functional: PBE-GGA
Structure: relaxed

Output
SG: No. 156
DOS(E_F): 0.437 states/eV per atom

Cell: 3.2241 3.2241 5.8066 Å, 90.00 90.00 120.00°
Sites, in units of the cell vectors:
Ni: 0.0000 0.0000 0.0000
Au: 0.3333 0.6667 0.6790
Se: 0.6667 0.3333 0.2397

Run x
Compound: NiAuSe
Source: Alexandria via LeMat-Bulk
Functional: PBE-GGA
Structure: relaxed

Output
SG: No. 12
DOS(E_F): 0.617 states/eV per atom

Cell: 5.7411 5.7411 5.8914 Å, 105.24 105.24 34.12°
Sites, in units of the cell vectors:
Ni: 0.2479 0.2479 0.2652
Ni: 0.7521 0.7521 0.7348
Au: 0.4208 0.4208 0.6724
Au: 0.5792 0.5792 0.3276
Se: 0.1321 0.1321 0.8528
Se: 0.8679 0.8679 0.1472

Run y
Compound: NiAuSe
Source: Alexandria via LeMat-Bulk
Functional: PBE-GGA
Structure: relaxed

Output
SG: No. 216
DOS(E_F): 0.855 states/eV per atom

Cell: 4.2304 4.2304 4.2304 Å, 60.00 60.00 60.00°
Sites, in units of the cell vectors:
Ni: 0.0000 0.0000 0.0000
Au: 0.2500 0.2500 0.2500
Se: 0.7500 0.7500 0.7500

Stability verdict: run w, ahead by 40 meV per atom